1.
Material: TaFeSi
Method: DFT, PBEsol
State: relaxed

a = 3.9598 Å, b = 3.9598 Å, c = 3.9598 Å
α = 60.00°, β = 60.00°, γ = 60.00°
Closest atoms and distances in Å follow each position.
Element x y z (fractional)
Fe 0.2500 0.2500 0.2500  4 Si 2.42, 4 Ta 2.42
Si 0.0000 0.0000 0.0000  4 Fe 2.42
Ta 0.5000 0.5000 0.5000  4 Fe 2.42

As for the formation energy from raw total energies: -0.39 eV per atom.

=====

2.
Material: LiHgSb2
Method: DFT, PBEsol
State: relaxed

a = 4.0075 Å, b = 4.3121 Å, c = 6.3712 Å
α = 109.78°, β = 108.33°, γ = 90.00°
Closest atoms and distances in Å follow each position.
Element x y z (fractional)
Li 0.2593 0.7593 0.5185  6 Sb 2.95-3.22, 2 Hg 3.09
Hg 0.4553 0.4553 0.9107  2 Li 3.09, 6 Sb 3.12-3.17
Sb 0.7376 0.2376 0.4753  2 Sb 2.94, 4 Li 2.95, 2 Hg 3.17
Sb 0.0478 0.0478 0.0955  2 Sb 2.94, 4 Hg 3.12, 2 Li 3.22

As for the formation energy from raw total energies: -0.14 eV per atom.

=====

3.
Material: TaMo3
Method: DFT, PBEsol
State: relaxed

a = 3.1531 Å, b = 3.1531 Å, c = 12.7387 Å
α = 90.00°, β = 90.00°, γ = 90.00°
Closest atoms and distances in Å follow each position.
Element x y z (fractional)
Mo 0.0000 0.5000 0.6843  8 Mo 2.70-2.73
Mo 0.5000 0.0000 0.8045  4 Mo 2.70, 4 Ta 2.76
Mo 0.0000 0.5000 0.1955  4 Mo 2.70, 4 Ta 2.76
Mo 0.5000 0.0000 0.3157  8 Mo 2.70-2.73
Mo 0.5000 0.0000 0.5602  8 Mo 2.71-2.73
Mo 0.0000 0.5000 0.4398  8 Mo 2.71-2.73
Ta 0.5000 0.0000 0.0680  4 Mo 2.76, 4 Ta 2.82
Ta 0.0000 0.5000 0.9320  4 Mo 2.76, 4 Ta 2.82

The formation energy is -0.30 eV per formula unit.

=====

4.
Material: K2AlTlF6
Method: DFT, PBEsol
State: relaxed

a = 6.2068 Å, b = 6.2068 Å, c = 6.2068 Å
α = 60.00°, β = 60.00°, γ = 60.00°
Closest atoms and distances in Å follow each position.
Element x y z (fractional)
F 0.2929 0.2929 0.7071  1 Al 1.82
F 0.2929 0.7071 0.7071  1 Al 1.82
F 0.7071 0.2929 0.2929  1 Al 1.82
F 0.7071 0.2929 0.7071  1 Al 1.82
F 0.7071 0.7071 0.2929  1 Al 1.82
F 0.2929 0.7071 0.2929  1 Al 1.82
Tl 0.0000 0.0000 0.0000  6 F 2.57
Al 0.5000 0.5000 0.5000  6 F 1.82
K 0.2500 0.2500 0.2500  12 F 3.13
K 0.7500 0.7500 0.7500  12 F 3.13

As for the formation energy from raw total energies: -2.91 eV per atom.

=====

5.
Material: Ba2CaAg
Method: DFT, PBEsol
State: relaxed

a = 4.0428 Å, b = 4.0428 Å, c = 9.9927 Å
α = 90.00°, β = 90.00°, γ = 90.00°
Closest atoms and distances in Å follow each position.
Element x y z (fractional)
Ba 0.0000 0.0000 0.8088  4 Ag 3.44, 1 Ba 3.82
Ba 0.0000 0.0000 0.1912  4 Ag 3.44, 1 Ba 3.82
Ag 0.5000 0.5000 0.0000  8 Ba 3.44
Ca 0.5000 0.5000 0.5000  4 Ca 4.04, 8 Ba 4.21

The formation energy is -0.35 eV per formula unit. The calculation puts the polymorph energy (0 for the lowest one) at 10 meV/atom.

=====

6.
Material: ScCdAg2
Method: DFT, PBEsol
State: relaxed

a = 4.6890 Å, b = 4.6890 Å, c = 4.6890 Å
α = 60.00°, β = 60.00°, γ = 60.00°
Closest atoms and distances in Å follow each position.
Element x y z (fractional)
Ag 0.7500 0.7500 0.7500  4 Ag 2.87, 4 Cd 2.87
Ag 0.0000 0.0000 0.0000  4 Ag 2.87, 4 Sc 2.87
Sc 0.2500 0.2500 0.2500  4 Cd 2.87, 4 Ag 2.87
Cd 0.5000 0.5000 0.5000  4 Sc 2.87, 4 Ag 2.87

The formation energy is -0.86 eV per formula unit.

=====

7.
Material: AlCu2Tc
Method: DFT, PBEsol
State: relaxed

a = 2.6173 Å, b = 4.4726 Å, c = 4.7125 Å
α = 103.78°, β = 106.12°, γ = 90.00°
Closest atoms and distances in Å follow each position.
Element x y z (fractional)
Tc 0.0000 0.5000 0.0000  4 Al 2.59, 2 Tc 2.62, 6 Cu 2.65-2.71
Al 0.5000 0.0000 0.0000  6 Cu 2.58-2.81, 4 Tc 2.59, 2 Al 2.62
Cu 0.2450 0.2525 0.4900  6 Cu 2.55-2.63, 3 Al 2.58-2.81, 3 Tc 2.65-2.71
Cu 0.7550 0.7475 0.5100  6 Cu 2.55-2.63, 3 Al 2.58-2.81, 3 Tc 2.65-2.71

The formation energy is 0.02 eV per formula unit.

=====

8.
Material: LiTi2Cl
Method: DFT, PBEsol
State: relaxed

a = 4.3730 Å, b = 4.3730 Å, c = 4.3730 Å
α = 60.00°, β = 60.00°, γ = 60.00°
Closest atoms and distances in Å follow each position.
Element x y z (fractional)
Li 0.0000 0.0000 0.0000  8 Ti 2.68
Ti 0.7500 0.7500 0.7500  4 Cl 2.68, 4 Li 2.68
Ti 0.2500 0.2500 0.2500  4 Cl 2.68, 4 Li 2.68
Cl 0.5000 0.5000 0.5000  8 Ti 2.68

As for the formation energy from raw total energies: 0.32 eV per atom.

=====

9.
Material: ZnCd3
Method: DFT, PBEsol
State: relaxed

a = 4.9933 Å, b = 5.4344 Å, c = 5.7138 Å
α = 90.00°, β = 90.00°, γ = 90.00°
Closest atoms and distances in Å follow each position.
Element x y z (fractional)
Cd 0.1686 0.5000 0.2533  4 Cd 2.82-2.90, 2 Zn 2.87
Cd 0.8314 0.0000 0.2467  4 Cd 2.82-2.90, 2 Zn 2.87
Cd 0.6642 0.5000 0.0000  4 Zn 2.86-3.19, 8 Cd 2.87-3.17
Cd 0.1686 0.5000 0.7467  4 Cd 2.82-2.90, 2 Zn 2.87
Cd 0.8314 0.0000 0.7533  4 Cd 2.82-2.90, 2 Zn 2.87
Cd 0.3358 0.0000 0.5000  4 Zn 2.86-3.19, 8 Cd 2.87-3.17
Zn 0.3314 0.0000 0.0000  12 Cd 2.86-3.19
Zn 0.6686 0.5000 0.5000  12 Cd 2.86-3.19

The formation energy is 0.19 eV per formula unit.

=====

10.
Material: BSbSe2
Method: DFT, PBEsol
State: relaxed

a = 4.9581 Å, b = 4.9581 Å, c = 6.4568 Å
α = 67.42°, β = 67.42°, γ = 60.00°
Closest atoms and distances in Å follow each position.
Element x y z (fractional)
Se 0.1051 0.1051 0.6846  1 B 1.83
Se 0.8949 0.8949 0.3154  1 B 1.83
Sb 0.5000 0.5000 0.5000  6 Se 3.06
B 0.0000 0.0000 0.0000  2 Se 1.83

As for the formation energy from raw total energies: 0.57 eV per atom.

=====

11.
Material: Sc2FeAu
Method: DFT, PBEsol
State: relaxed

a = 3.1433 Å, b = 3.1433 Å, c = 6.7069 Å
α = 90.00°, β = 90.00°, γ = 90.00°
Closest atoms and distances in Å follow each position.
Element x y z (fractional)
Fe 0.5000 0.5000 0.5000  8 Sc 2.67
Au 0.5000 0.5000 0.0000  8 Sc 2.91, 4 Au 3.14
Sc 0.0000 0.0000 0.2791  4 Fe 2.67, 4 Au 2.91, 1 Sc 2.96
Sc 0.0000 0.0000 0.7209  4 Fe 2.67, 4 Au 2.91, 1 Sc 2.96

The formation energy is -1.96 eV per formula unit.

=====

12.
Material: CuSbSe
Method: DFT, PBEsol
State: relaxed

a = 4.4696 Å, b = 4.4696 Å, c = 4.4696 Å
α = 60.00°, β = 60.00°, γ = 60.00°
Closest atoms and distances in Å follow each position.
Element x y z (fractional)
Se 0.5000 0.5000 0.5000  4 Cu 2.74
Cu 0.2500 0.2500 0.2500  4 Se 2.74, 4 Sb 2.74
Sb 0.0000 0.0000 0.0000  4 Cu 2.74

As for the formation energy from raw total energies: 0.16 eV per atom.